# 1
Computed, not measured: CsYRu2 after structural relaxation at the PBE level of DFT.

Unit cell a=4.978 b=4.978 c=4.978 alpha=60.00 beta=60.00 gamma=60.00
Sites, in units of the cell vectors:
Y 0.000 0.000 0.000
Cs 0.500 0.500 0.500
Ru 0.750 0.750 0.750
Ru 0.250 0.250 0.250

Crystal system ... cubic
Space group ... Fm-3m, No. 225
D(E_F) ... 4.44 states/eV/f.u.
Total moment ... 0.00 μB per atom
Energy ... -21.3 eV/f.u.

=====

# 2
Computed, not measured: TbY6Ho2 after structural relaxation at the PBE level of DFT.

Unit cell a=6.548 b=9.580 c=9.580 alpha=95.98 beta=81.01 gamma=81.01
Sites, in units of the cell vectors:
Y 0.496 0.351 0.722
Y 0.187 0.050 0.222
Ho 0.868 0.384 0.338
Tb 0.750 0.880 0.120
Y 0.504 0.649 0.278
Y 0.774 0.541 0.938
Y 0.687 0.222 0.050
Y 0.996 0.722 0.351
Y 0.274 0.938 0.541
Y 0.004 0.278 0.649
Y 0.813 0.950 0.778
Ho 0.132 0.616 0.662
Y 0.313 0.778 0.950
Ho 0.368 0.338 0.384
Y 0.726 0.062 0.459
Ho 0.632 0.662 0.616
Y 0.226 0.459 0.062
Tb 0.250 0.120 0.880

Offset from the most stable computed form ... 3.0 kJ per mole of atoms
Crystal system ... monoclinic
Space group ... C2/c, No. 15
D(E_F) ... 11.85 states/eV/f.u.
Total moment ... 0.00 μB per atom

=====

# 3
Computed, not measured: ErMg3Au2 after structural relaxation at the PBE level of DFT.

Unit cell a=4.289 b=7.086 c=8.472 alpha=90.00 beta=90.00 gamma=90.00
Sites, in units of the cell vectors:
Mg 0.500 0.642 0.183
Mg 0.000 0.860 0.699
Mg 0.000 0.360 0.301
Au 0.500 0.254 0.123
Au 0.500 0.754 0.877
Er 0.500 0.031 0.420
Mg 0.500 0.142 0.817
Au 0.000 0.244 0.620
Er 0.500 0.531 0.580
Au 0.000 0.744 0.380
Mg 0.000 0.468 0.919
Mg 0.000 0.968 0.081

Crystal system ... orthorhombic
Space group ... Pmc2_1, No. 26
D(E_F) ... 3.22 states/eV/f.u.
Total moment ... 0.00 μB per atom
Energy ... -19.5 eV/f.u.

=====

# 4
Computed, not measured: Cr2H2I after structural relaxation at the PBE level of DFT.

Unit cell a=3.992 b=3.992 c=5.741 alpha=69.66 beta=69.66 gamma=90.00
Last column: magnetic moment on the atom in μB.
Sites, in units of the cell vectors:
H 0.709 0.709 0.582  -0.05
Cr 0.750 0.250 0.500  3.89
H 0.291 0.291 0.418  -0.05
I 0.000 0.000 0.000  0.01
Cr 0.250 0.750 0.500  3.89

Offset from the most stable computed form ... 0.0 kJ per mole of atoms
Crystal system ... tetragonal
Space group ... I4/mmm, No. 139
D(E_F) ... 1.41 states/eV/f.u.
Total moment ... 1.74 μB per atom

=====

# 5
Computed, not measured: Tb3DyGa after structural relaxation at the PBE level of DFT.

Unit cell a=7.425 b=7.425 c=7.455 alpha=104.95 beta=117.65 gamma=105.96
Sites, in units of the cell vectors:
Tb 0.724 0.445 0.169
Dy 0.703 0.066 0.769
Tb 0.157 0.970 0.744
Ga 0.629 0.754 0.384
Tb 0.774 0.587 0.744
Tb 0.226 0.413 0.256
Tb 0.276 0.555 0.831
Dy 0.297 0.934 0.231
Tb 0.843 0.030 0.256
Ga 0.371 0.246 0.616

Crystal system ... monoclinic
Space group ... C2/m, No. 12
D(E_F) ... 6.94 states/eV/f.u.
Total moment ... 0.00 μB per atom
Energy ... -21.9 eV/f.u.

=====

# 6
Computed, not measured: Ta2MoCl after structural relaxation at the PBE level of DFT.

Unit cell a=5.607 b=5.607 c=5.607 alpha=147.87 beta=132.63 gamma=58.39
Sites, in units of the cell vectors:
Ta 0.753 0.253 0.500
Cl 0.470 0.470 0.000
Ta 0.016 0.016 0.000
Mo 0.261 0.761 0.500

Offset from the most stable computed form ... 40.3 kJ per mole of atoms
Crystal system ... orthorhombic
Space group ... Imm2, No. 44
D(E_F) ... 3.25 states/eV/f.u.
Total moment ... 0.00 μB per atom

=====

# 7
Computed, not measured: Tm2CuBr8 after structural relaxation at the PBE level of DFT.

Unit cell a=7.332 b=8.402 c=8.402 alpha=70.67 beta=89.21 gamma=89.21
Last column: magnetic moment on the atom in μB.
Sites, in units of the cell vectors:
Cu 0.000 0.000 0.000  0.37
Br 0.844 0.724 0.101  0.10
Br 0.774 0.623 0.623  0.00
Br 0.844 0.101 0.724  0.10
Br 0.156 0.276 0.899  0.10
Br 0.226 0.377 0.377  0.00
Br 0.323 0.822 0.822  0.00
Tm 0.676 0.802 0.802  -0.01
Br 0.156 0.899 0.276  0.10
Br 0.677 0.178 0.178  0.00
Tm 0.324 0.198 0.198  -0.01

Crystal system ... monoclinic
Space group ... C2/m, No. 12
D(E_F) ... 0.04 states/eV/f.u.
Total moment ... 0.08 μB per atom
Energy ... -40.2 eV/f.u.

=====

# 8
Computed, not measured: Ac2AuN after structural relaxation at the PBE level of DFT.

Unit cell a=6.247 b=6.379 c=6.379 alpha=105.97 beta=90.00 gamma=90.00
Sites, in units of the cell vectors:
N 0.500 0.000 0.000
Ac 0.750 0.878 0.685
Au 0.250 0.630 0.370
Ac 0.250 0.685 0.878
N 0.000 0.000 0.000
Au 0.750 0.370 0.630
Ac 0.250 0.122 0.315
Ac 0.750 0.315 0.122

Offset from the most stable computed form ... 22.5 kJ per mole of atoms
Crystal system ... orthorhombic
Space group ... Cmcm, No. 63
D(E_F) ... 2.36 states/eV/f.u.
Total moment ... 0.00 μB per atom

=====

# 9
Computed, not measured: CsTlBTe2 after structural relaxation at the PBE level of DFT.

Unit cell a=5.382 b=5.235 c=5.382 alpha=90.00 beta=90.00 gamma=90.00
Sites, in units of the cell vectors:
Cs 0.500 0.500 0.500
Tl 0.000 0.500 0.000
Te 0.000 0.000 0.500
B 0.000 0.000 0.000
Te 0.500 0.000 0.000

Crystal system ... tetragonal
Space group ... P4/mmm, No. 123
D(E_F) ... 2.32 states/eV/f.u.
Total moment ... 0.00 μB per atom
Energy ... -14.9 eV/f.u.

=====

# 10
Computed, not measured: KCuTc2 after structural relaxation at the PBE level of DFT.

Unit cell a=2.595 b=2.595 c=10.046 alpha=90.00 beta=90.00 gamma=90.00
Sites, in units of the cell vectors:
K 0.500 0.500 0.750
Cu 0.500 0.500 0.250
Tc 0.000 0.000 0.452
Tc 0.000 0.000 0.048

Offset from the most stable computed form ... 25.6 kJ per mole of atoms
Crystal system ... tetragonal
Space group ... P4/mmm, No. 123
D(E_F) ... 2.76 states/eV/f.u.
Total moment ... 0.00 μB per atom

=====

# 11
Computed, not measured: Cd5Br4 after structural relaxation at the PBE level of DFT.

Unit cell a=10.307 b=10.307 c=5.785 alpha=90.00 beta=90.00 gamma=120.00
Sites, in units of the cell vectors:
Br 0.000 0.663 0.750
Br 0.337 0.337 0.750
Cd 0.728 0.000 0.250
Br 0.663 0.000 0.750
Cd 0.667 0.333 0.000
Cd 0.000 0.728 0.250
Br 0.337 0.000 0.250
Br 0.663 0.663 0.250
Cd 0.728 0.728 0.750
Cd 0.333 0.667 0.000
Cd 0.272 0.272 0.250
Cd 0.272 0.000 0.750
Cd 0.667 0.333 0.500
Br 0.000 0.000 0.500
Br 0.000 0.000 0.000
Br 0.000 0.337 0.250
Cd 0.333 0.667 0.500
Cd 0.000 0.272 0.750

Crystal system ... hexagonal
Space group ... P6_3/mcm, No. 193
D(E_F) ... 2.79 states/eV/f.u.
Total moment ... 0.00 μB per atom
Energy ... -13.0 eV/f.u.

=====

# 12
Computed, not measured: Ho4CSe2N after structural relaxation at the PBE level of DFT.

Unit cell a=3.702 b=6.401 c=6.836 alpha=108.22 beta=90.00 gamma=90.00
Sites, in units of the cell vectors:
N 0.000 0.000 0.000
C 0.500 0.500 0.000
Se 0.000 0.500 0.500
Se 0.500 0.000 0.500
Ho 0.500 0.766 0.800
Ho 0.000 0.734 0.203
Ho 0.500 0.234 0.200
Ho 0.000 0.266 0.797

Crystal system ... monoclinic
Space group ... P2/m, No. 10
D(E_F) ... 1.94 states/eV/f.u.
Total moment ... 0.00 μB per atom
Energy ... -54.6 eV/f.u.

=====

# 13
Computed, not measured: SnGeIr2 after structural relaxation at the PBE level of DFT.

Unit cell a=4.535 b=4.535 c=4.535 alpha=60.00 beta=60.00 gamma=60.00
Sites, in units of the cell vectors:
Ir 0.250 0.250 0.250
Sn 0.500 0.500 0.500
Ge 0.000 0.000 0.000
Ir 0.750 0.750 0.750

Offset from the most stable computed form ... 20.4 kJ per mole of atoms
Crystal system ... cubic
Space group ... Fm-3m, No. 225
D(E_F) ... 5.97 states/eV/f.u.
Total moment ... 0.00 μB per atom

=====

# 14
Computed, not measured: KCaZrCl6 after structural relaxation at the PBE level of DFT.

Unit cell a=6.942 b=6.942 c=13.811 alpha=90.00 beta=90.00 gamma=120.00
Last column: magnetic moment on the atom in μB.
Sites, in units of the cell vectors:
Cl 0.980 0.355 0.142  0.00
Cl 0.625 0.645 0.642  0.00
Cl 0.020 0.375 0.642  0.00
Cl 0.980 0.625 0.358  0.00
Cl 0.375 0.355 0.358  0.00
Cl 0.355 0.980 0.642  0.00
Cl 0.355 0.375 0.858  0.00
K 0.000 0.000 0.500  0.00
Cl 0.375 0.020 0.142  0.00
K 0.000 0.000 0.000  0.00
Cl 0.625 0.980 0.858  0.00
Cl 0.645 0.625 0.142  0.00
Cl 0.645 0.020 0.358  0.00
Cl 0.020 0.645 0.858  0.00
Zr 0.667 0.333 0.250  0.71
Ca 0.667 0.333 0.750  0.01
Ca 0.333 0.667 0.250  0.01
Zr 0.333 0.667 0.750  0.71

Crystal system ... trigonal
Space group ... P-31c, No. 163
D(E_F) ... 6.96 states/eV/f.u.
Total moment ... 0.11 μB per atom
Energy ... -40.5 eV/f.u.

=====

# 15
Computed, not measured: FeCo2 after structural relaxation at the PBE level of DFT.

Unit cell a=4.032 b=4.032 c=2.428 alpha=90.00 beta=90.00 gamma=120.00
Last column: magnetic moment on the atom in μB.
Sites, in units of the cell vectors:
Fe 0.000 0.000 0.500  2.61
Co 0.667 0.333 0.000  1.67
Co 0.333 0.667 0.000  1.67

Crystal system ... hexagonal
Space group ... P6/mmm, No. 191
D(E_F) ... 3.40 states/eV/f.u.
Total moment ... 1.97 μB per atom
Energy ... -22.3 eV/f.u.

=====

# 16
Computed, not measured: CaZn2ReN4 after structural relaxation at the PBE level of DFT.

Unit cell a=5.479 b=5.685 c=7.151 alpha=90.00 beta=90.00 gamma=90.00
Sites, in units of the cell vectors:
N 0.929 0.867 0.000
N 0.344 0.217 0.000
Zn 0.999 0.679 0.752
N 0.870 0.341 0.792
N 0.429 0.133 0.500
N 0.870 0.341 0.208
N 0.370 0.659 0.292
Ca 0.987 0.185 0.500
Zn 0.999 0.679 0.248
Re 0.504 0.809 0.500
Re 0.004 0.191 0.000
Zn 0.499 0.321 0.748
Zn 0.499 0.321 0.252
N 0.370 0.659 0.708
Ca 0.487 0.815 0.000
N 0.844 0.783 0.500

Crystal system ... orthorhombic
Space group ... Pmn2_1, No. 31
D(E_F) ... 3.04 states/eV/f.u.
Total moment ... 0.00 μB per atom
Energy ... -52.7 eV/f.u.

=====

# 17
Computed, not measured: RbZn2Se2 after structural relaxation at the PBE level of DFT.

Unit cell a=8.325 b=8.325 c=3.656 alpha=90.00 beta=90.00 gamma=90.00
Sites, in units of the cell vectors:
Rb 0.500 0.500 0.000
Se 0.356 0.856 0.000
Zn 0.112 0.612 0.500
Zn 0.612 0.888 0.500
Zn 0.388 0.112 0.500
Se 0.644 0.144 0.000
Se 0.856 0.644 0.000
Se 0.144 0.356 0.000
Zn 0.888 0.388 0.500
Rb 0.000 0.000 0.000

Offset from the most stable computed form ... 35.4 kJ per mole of atoms
Crystal system ... tetragonal
Space group ... P4/mbm, No. 127
D(E_F) ... 1.30 states/eV/f.u.
Total moment ... 0.00 μB per atom

=====

# 18
Computed, not measured: Sm2DyPaBi4 after structural relaxation at the PBE level of DFT.

Unit cell a=4.507 b=7.821 c=7.836 alpha=109.25 beta=90.00 gamma=90.00
Last column: magnetic moment on the atom in μB.
Sites, in units of the cell vectors:
Bi 0.000 0.749 0.245  -0.02
Bi 0.500 0.751 0.756  -0.01
Sm 0.000 0.500 0.500  0.01
Sm 0.500 0.000 0.500  0.02
Pa 0.500 0.500 0.000  0.92
Bi 0.000 0.251 0.755  -0.02
Bi 0.500 0.249 0.244  -0.01
Dy 0.000 0.000 0.000  0.00

Crystal system ... monoclinic
Space group ... P2/m, No. 10
D(E_F) ... 7.38 states/eV/f.u.
Total moment ... 0.13 μB per atom
Energy ... -44.6 eV/f.u.

=====

# 19
Computed, not measured: K2Sc3AgF12 after structural relaxation at the PBE level of DFT.

Unit cell a=7.491 b=7.491 c=7.491 alpha=63.35 beta=63.35 gamma=63.35
Last column: magnetic moment on the atom in μB.
Sites, in units of the cell vectors:
F 0.287 0.287 0.910  0.00
K 0.636 0.636 0.636  0.00
K 0.364 0.364 0.364  0.00
Ag 0.000 0.000 0.000  0.11
Sc 0.500 0.000 0.000  0.00
F 0.713 0.090 0.713  0.00
F 0.120 0.593 0.120  0.00
F 0.120 0.120 0.593  0.00
F 0.593 0.120 0.120  0.00
F 0.910 0.287 0.287  0.00
F 0.880 0.880 0.407  0.00
F 0.090 0.713 0.713  0.00
F 0.407 0.880 0.880  0.00
Sc 0.000 0.000 0.500  0.00
F 0.713 0.713 0.090  0.00
F 0.880 0.407 0.880  0.00
F 0.287 0.910 0.287  0.00
Sc 0.000 0.500 0.000  0.00

Crystal system ... trigonal
Space group ... R-3m, No. 166
D(E_F) ... 0.00 states/eV/f.u.
Total moment ... 0.01 μB per atom
Energy ... -107.3 eV/f.u.

=====

# 20
Computed, not measured: ReHg2Mo after structural relaxation at the PBE level of DFT.

Unit cell a=7.634 b=7.634 c=6.047 alpha=50.86 beta=50.86 gamma=90.00
Last column: magnetic moment on the atom in μB.
Sites, in units of the cell vectors:
Re 0.000 0.000 0.000  0.98
Mo 0.250 0.750 0.500  0.60
Hg 0.875 0.880 0.750  0.00
Hg 0.120 0.625 0.250  0.00
Mo 0.500 0.500 0.000  0.60
Hg 0.375 0.370 0.750  0.00
Hg 0.630 0.125 0.250  0.00
Re 0.750 0.250 0.500  0.99

Offset from the most stable computed form ... 94.8 kJ per mole of atoms
Crystal system ... tetragonal
Space group ... I-42d, No. 122
D(E_F) ... 3.92 states/eV/f.u.
Total moment ... 0.43 μB per atom

=====

# 21
Computed, not measured: CaZnPI after structural relaxation at the PBE level of DFT.

Unit cell a=4.159 b=4.159 c=15.001 alpha=82.03 beta=82.03 gamma=60.00
Sites, in units of the cell vectors:
Zn 0.313 0.313 0.061
I 0.786 0.786 0.642
P 0.630 0.630 0.109
Ca 0.076 0.076 0.772
I 0.214 0.214 0.358
Ca 0.924 0.924 0.228
Zn 0.687 0.687 0.939
P 0.370 0.370 0.891

Crystal system ... trigonal
Space group ... R-3m, No. 166
Total moment ... 0.00 μB per atom
Energy ... -14.3 eV/f.u.

=====

# 22
Computed, not measured: LaGePS2 after structural relaxation at the PBE level of DFT.

Unit cell a=4.799 b=4.799 c=4.720 alpha=90.00 beta=90.00 gamma=90.00
Sites, in units of the cell vectors:
S 0.500 0.000 0.000
Ge 0.000 0.000 0.000
P 0.000 0.000 0.500
La 0.500 0.500 0.500
S 0.000 0.500 0.000

Offset from the most stable computed form ... 0.0 kJ per mole of atoms
Crystal system ... tetragonal
Space group ... P4/mmm, No. 123
D(E_F) ... 2.82 states/eV/f.u.
Total moment ... 0.00 μB per atom

=====

# 23
Computed, not measured: Th2SiPd3 after structural relaxation at the PBE level of DFT.

Unit cell a=5.762 b=5.762 c=9.016 alpha=111.96 beta=111.96 gamma=80.21
Sites, in units of the cell vectors:
Si 0.665 0.665 0.329
Pd 0.824 0.824 0.172
Pd 0.821 0.821 0.642
Th 0.756 0.244 0.000
Th 0.244 0.756 0.000
Pd 0.179 0.179 0.358
Pd 0.349 0.349 0.172
Th 0.250 0.750 0.500
Pd 0.651 0.651 0.828
Si 0.335 0.335 0.671
Pd 0.176 0.176 0.828
Th 0.750 0.250 0.500

Crystal system ... orthorhombic
Space group ... Fmmm, No. 69
D(E_F) ... 4.66 states/eV/f.u.
Total moment ... 0.00 μB per atom
Energy ... -40.9 eV/f.u.